# CrRe2As | Alexandria via LeMat-Bulk | PBE | relaxed
data_CrRe2As
_chemical_formula_sum 'Cr4 Re8 As4'
_cell_length_a 3.682
_cell_length_b 3.682
_cell_length_c 18.860
_cell_angle_alpha 90.00
_cell_angle_beta 90.00
_cell_angle_gamma 90.00
_symmetry_space_group_name_H-M 'I -4 2 d'
_symmetry_Int_Tables_number 122
_symmetry_space_group_name_Hall 'I -4 2bw'
loop_
_atom_site_label
_atom_site_type_symbol
_atom_site_fract_x
_atom_site_fract_y
_atom_site_fract_z
_atom_site_occupancy
Cr1 Cr 0.000 0.000 0.000 1
Re1 Re 0.226 0.250 0.625 1
As1 As 0.000 0.000 0.500 1
# Total DFT energy (no corrections): -9.115 eV per atom
# Volume: 256 Å³ per cell
# Energy relative to the elements: 0.6772 eV/atom